Computed, not measured: a relaxed structure of NdWIO4 at the PBE with a Hubbard U level of DFT.

Unit cell a=6.7244 b=6.7244 c=7.2911 alpha=76.67 beta=76.67 gamma=67.54
Positions (direct):
O 0.5336 0.5336 0.2008
Nd 0.2441 0.2441 0.8645
O 0.6969 0.6969 0.4812
I 0.0183 0.0183 0.2481
O 0.5040 0.8795 0.8520
O 0.3031 0.3031 0.5188
W 0.3656 0.3656 0.2623
O 0.4960 0.1205 0.1480
O 0.4664 0.4664 0.7992
I 0.9817 0.9817 0.7519
O 0.8795 0.5040 0.8520
W 0.6344 0.6344 0.7377
Nd 0.7559 0.7559 0.1355
O 0.1205 0.4960 0.1480

Computed properties:
SG: C2/m, No. 12
Mass density (g cm⁻³): 5.9
Total magnetization (μB/f.u.): 0.0
E (eV per atom): -7.013